[1]
Below is crystalline Nd6Ru2RhBr3 at its relaxed geometry, with properties calculated at the GGA-PBE level.

Uncorrected formation energy = -872 meV/atom
Total magnetization = 0.0 μB/f.u.
Space-group type = No. 12

Cell and atoms, written as POSCAR:
```
Nd6Ru2RhBr3
1.0
-1.4530 -6.2781 2.9641
5.3298 3.9554 2.5020
-6.2514 4.2874 3.1880
Nd Ru Rh Br
6 2 1 3
direct
0.9345 0.5960 0.8030
0.7275 0.7275 0.1975
0.0655 0.4040 0.1970
0.5960 0.9345 0.8030
0.2725 0.2725 0.8025
0.4040 0.0655 0.1970
0.3337 0.6663 0.0000
0.6663 0.3337 0.0000
0.0000 0.0000 0.0000
0.1682 0.8318 0.5000
0.8318 0.1682 0.5000
0.5000 0.5000 0.5000
```

[2]
Below is crystalline Nd4RhSBr2 at its relaxed geometry, with properties calculated at the GGA-PBE level.

Uncorrected formation energy = -1299 meV/atom
Total magnetization = 0.0 μB/f.u.
Space-group type = No. 10

Cell and atoms, written as POSCAR:
```
Nd4RhSBr2
1.0
4.0225 0.0000 0.0000
0.0000 7.3867 0.2031
0.0000 -2.5217 7.4200
Nd Rh S Br
4 1 1 2
direct
0.5000 0.2301 0.2046
0.5000 0.7699 0.7954
0.0000 0.2789 0.7978
0.0000 0.7211 0.2022
0.5000 0.5000 0.0000
0.0000 0.0000 0.0000
0.5000 0.0000 0.5000
0.0000 0.5000 0.5000
```

[3]
Below is crystalline Nd4RhS2Br at its relaxed geometry, with properties calculated at the GGA-PBE level.

Uncorrected formation energy = -1444 meV/atom
Total magnetization = 0.0 μB/f.u.
Space-group type = No. 10

Cell and atoms, written as POSCAR:
```
Nd4RhS2Br
1.0
4.0267 0.0000 0.0000
0.0000 7.2851 -0.2135
0.0000 2.5015 6.8705
Nd Rh S Br
4 1 2 1
direct
0.0000 0.7746 0.7268
0.0000 0.2254 0.2732
0.5000 0.7487 0.2683
0.5000 0.2513 0.7316
0.0000 0.5000 0.5000
0.0000 0.0000 0.0000
0.5000 0.0000 0.5000
0.5000 0.5000 0.0000
```

[4]
Below is crystalline Nd4RhSe2Br at its relaxed geometry, with properties calculated at the GGA-PBE level.

Uncorrected formation energy = -1368 meV/atom
Total magnetization = 0.0 μB/f.u.
Space-group type = No. 10

Cell and atoms, written as POSCAR:
```
Nd4RhSe2Br
1.0
-2.5113 -2.1795 2.4337
5.2589 -5.2318 0.7412
4.2239 1.7232 5.9017
Nd Rh Se Br
4 1 2 1
direct
0.0000 0.7606 0.7307
0.0000 0.2394 0.2693
0.5000 0.7325 0.2769
0.5000 0.2675 0.7231
0.0000 0.5000 0.5000
0.0000 0.0000 0.0000
0.5000 0.0000 0.5000
0.5000 0.5000 0.0000
```

[5]
Below is crystalline Nd3RhSeBr at its relaxed geometry, with properties calculated at the GGA-PBE level.

Uncorrected formation energy = -1017 meV/atom
Total magnetization = 0.4 μB/f.u.
Space-group type = No. 11

Cell and atoms, written as POSCAR:
```
Nd3RhSeBr
1.0
-1.8866 0.0949 3.6006
1.1653 -8.4700 0.8338
7.9626 4.1771 4.0620
Nd Rh Se Br
6 2 2 2
direct
0.7500 0.8934 0.1006
0.2500 0.1066 0.8994
0.2500 0.7069 0.5149
0.7500 0.2931 0.4851
0.7500 0.4462 0.1463
0.2500 0.5538 0.8537
0.2500 0.6845 0.1548
0.7500 0.3155 0.8452
0.2500 0.1943 0.2315
0.7500 0.8057 0.7685
0.2500 0.1205 0.6088
0.7500 0.8795 0.3912
```

[6]
Below is crystalline Nd8Rh3SeBr4 at its relaxed geometry, with properties calculated at the GGA-PBE level.

Uncorrected formation energy = -1141 meV/atom
Total magnetization = 0.0 μB/f.u.
Space-group type = No. 166

Cell and atoms, written as POSCAR:
```
Nd8Rh3SeBr4
1.0
8.4207 0.0000 0.0000
0.0000 9.0649 0.4481
-4.2104 -4.2089 5.9560
Nd Rh Se Br
8 3 1 4
direct
0.2428 0.7003 0.9579
0.2427 0.7002 0.4853
0.2681 0.3048 0.5362
0.7151 0.7003 0.9579
0.2849 0.2997 0.0421
0.7319 0.6952 0.4638
0.7573 0.2998 0.5147
0.7572 0.2997 0.0421
0.5000 0.5000 0.0000
0.5000 0.5000 0.5000
0.0000 0.5000 0.5000
0.0000 0.5000 0.0000
0.5000 0.0000 0.0000
0.5000 0.0000 0.5000
0.0000 0.0000 0.0000
0.0000 0.0000 0.5000
```

[7]
Below is crystalline Nd4RhSeBr2 at its relaxed geometry, with properties calculated at the GGA-PBE level.

Uncorrected formation energy = -1248 meV/atom
Total magnetization = 0.0 μB/f.u.
Space-group type = No. 10

Cell and atoms, written as POSCAR:
```
Nd4RhSeBr2
1.0
4.0879 0.0000 0.0000
0.0000 7.7753 -0.3288
0.0000 2.5656 7.1609
Nd Rh Se Br
4 1 1 2
direct
0.0000 0.7118 0.7548
0.0000 0.2882 0.2452
0.5000 0.7028 0.2881
0.5000 0.2972 0.7119
0.0000 0.5000 0.5000
0.5000 0.5000 0.0000
0.0000 0.0000 0.0000
0.5000 0.0000 0.5000
```

[8]
Below is crystalline Nd4SiRhBr2 at its relaxed geometry, with properties calculated at the GGA-PBE level.

Uncorrected formation energy = -1013 meV/atom
Total magnetization = 0.0 μB/f.u.
Space-group type = No. 10

Cell and atoms, written as POSCAR:
```
Nd4SiRhBr2
1.0
4.1375 0.0000 0.0000
0.0000 7.5599 0.2701
0.0000 -2.5174 7.3985
Nd Si Rh Br
4 1 1 2
direct
0.5000 0.2264 0.1998
0.5000 0.7736 0.8002
0.0000 0.2555 0.7982
0.0000 0.7445 0.2018
0.5000 0.5000 0.0000
0.0000 0.0000 0.0000
0.5000 0.0000 0.5000
0.0000 0.5000 0.5000
```